No. 1
Compound: Cs4RbCd3Cl12
Source: Alexandria
Functional: PBE
Structure: optimized geometry

```
Cs4RbCd3Cl12
1.0
-0.560 8.592 4.164
-7.843 -1.510 -5.261
0.678 -6.765 6.727
Cs Rb Cd Cl
4 1 3 12
direct
0.500 0.500 0.500
0.000 0.000 0.500
0.500 0.000 0.000
0.000 0.500 0.000
0.000 0.000 0.000
0.500 0.000 0.500
0.500 0.500 0.000
0.000 0.500 0.500
0.250 0.500 0.750
0.725 0.000 0.725
0.275 0.000 0.275
0.750 0.500 0.250
0.725 0.725 0.000
0.275 0.275 0.000
0.750 0.250 0.500
0.250 0.750 0.500
0.500 0.250 0.750
0.000 0.725 0.725
0.500 0.750 0.250
0.000 0.275 0.275
```

Computed properties:
energy: -2.9193 eV per atom
formation energy from raw total energies: -1.455 eV per atom
symmetry: Im-3m


No. 2
Compound: KMo2
Source: Alexandria
Functional: PBE
Structure: optimized geometry

```
KMo2
1.0
1.598 -15.098 0.000
1.598 15.098 0.000
0.000 0.000 3.177
K Mo
2 4
direct
0.126 0.874 0.750
0.874 0.126 0.250
0.472 0.528 0.750
0.528 0.472 0.250
0.730 0.270 0.750
0.270 0.730 0.250
```

Computed properties:
energy: -6.3930 eV per atom
DFT formation energy: 1.194 eV/atom
symmetry: Cmcm


Q: Among the records above, which one has the lowest energy?
A: KMo2


Please write out number 2 again, unchanged.
Compound: KMo2
Source: Alexandria
Functional: PBE
Structure: optimized geometry

```
KMo2
1.0
1.598 -15.098 0.000
1.598 15.098 0.000
0.000 0.000 3.177
K Mo
2 4
direct
0.126 0.874 0.750
0.874 0.126 0.250
0.472 0.528 0.750
0.528 0.472 0.250
0.730 0.270 0.750
0.270 0.730 0.250
```

Computed properties:
energy: -6.3930 eV per atom
DFT formation energy: 1.194 eV/atom
symmetry: Cmcm